The following is a GGA+U calculation of a relaxed MoHNO2 crystal, from Alexandria.

Results
For the total energy, the calculation gives -0.3668 Ry/atom. The density of states at the Fermi level is 2.86 states/eV/cell. The value obtained for the total magnetization is 0.00 μB/f.u.

Cell: 3.7269 3.7269 2.6893 Å, 90.00 90.00 90.00°
Last column: nearest neighbours and their distance in Å.
Space group P4/mmm (No. 123)
Unique sites:
1 Mo 0.0000 0.0000 0.0000 [1 per cell]  8 O 2.30
2 H 0.5000 0.5000 0.5000 [1 per cell]  2 N 1.34
3 N 0.5000 0.5000 0.0000 [1 per cell]  2 H 1.34
4 O 0.0000 0.5000 0.5000 [2 per cell]  2 H 1.86